[1]
# HoEr2Al9 GGA-PBE optimized geometry
data_HoEr2Al9
_chemical_formula_sum 'Ho1 Er2 Al9'
_symmetry_space_group_name_H-M 'P 4/m m m'
_symmetry_Int_Tables_number 123
_symmetry_space_group_name_Hall '-P 4 2'
_cell_length_a 4.2383
_cell_length_b 4.2383
_cell_length_c 12.7141
_cell_angle_alpha 90.00
_cell_angle_beta 90.00
_cell_angle_gamma 90.00
loop_
_atom_site_label
_atom_site_type_symbol
_atom_site_fract_x
_atom_site_fract_y
_atom_site_fract_z
Ho1 Ho 0.0000 0.0000 0.0000
Er1 Er 0.0000 0.0000 0.3336
Al1 Al 0.0000 0.5000 0.1672
Al2 Al 0.0000 0.5000 0.5000
Al3 Al 0.5000 0.5000 0.0000
Al4 Al 0.5000 0.5000 0.3335
# **Energy of formation from the pure elements**: -9.624 kcal/mol of atoms



[2]
# Tb4Tm3Al GGA-PBE optimized geometry
data_Tb4Tm3Al
_chemical_formula_sum 'Tb4 Tm3 Al1'
_symmetry_space_group_name_H-M 'P 4/m m m'
_symmetry_Int_Tables_number 123
_symmetry_space_group_name_Hall '-P 4 2'
_cell_length_a 3.5253
_cell_length_b 3.5253
_cell_length_c 18.8965
_cell_angle_alpha 90.00
_cell_angle_beta 90.00
_cell_angle_gamma 90.00
loop_
_atom_site_label
_atom_site_type_symbol
_atom_site_fract_x
_atom_site_fract_y
_atom_site_fract_z
Tb1 Tb 0.0000 0.0000 0.1019
Tb2 Tb 0.0000 0.0000 0.3677
Tm1 Tm 0.5000 0.5000 0.2374
Tm2 Tm 0.5000 0.5000 0.5000
Al1 Al 0.5000 0.5000 0.0000
# **Energy of formation from the pure elements**: -1.772 kcal/mol of atoms



[3]
# Ti2MnSiPt GGA-PBE optimized geometry
data_Ti2MnSiPt
_chemical_formula_sum 'Ti2 Mn1 Si1 Pt1'
_symmetry_space_group_name_H-M 'P 4/m m m'
_symmetry_Int_Tables_number 123
_symmetry_space_group_name_Hall '-P 4 2'
_cell_length_a 4.3634
_cell_length_b 4.3634
_cell_length_c 4.5969
_cell_angle_alpha 90.00
_cell_angle_beta 90.00
_cell_angle_gamma 90.00
loop_
_atom_site_label
_atom_site_type_symbol
_atom_site_fract_x
_atom_site_fract_y
_atom_site_fract_z
Ti1 Ti 0.0000 0.5000 0.0000
Mn1 Mn 0.0000 0.0000 0.0000
Si1 Si 0.5000 0.5000 0.5000
Pt1 Pt 0.0000 0.0000 0.5000
# **Energy relative to the elements, uncorrected**: 0.41 eV/atom



[4]
# ZrTe3F GGA-PBE optimized geometry
data_ZrTe3F
_chemical_formula_sum 'Zr1 Te3 F1'
_symmetry_space_group_name_H-M 'P m -3 m'
_symmetry_Int_Tables_number 221
_symmetry_space_group_name_Hall '-P 4 2 3'
_cell_length_a 4.9177
_cell_length_b 4.9177
_cell_length_c 4.9177
_cell_angle_alpha 90.00
_cell_angle_beta 90.00
_cell_angle_gamma 90.00
loop_
_atom_site_label
_atom_site_type_symbol
_atom_site_fract_x
_atom_site_fract_y
_atom_site_fract_z
Zr1 Zr 0.0000 0.0000 0.0000
Te1 Te 0.0000 0.5000 0.5000
F1 F 0.5000 0.5000 0.5000
# **Offset from the most stable computed form**: 125.0 kJ/mol of formula units
# **Energy relative to the elements, uncorrected**: -0.02 eV/atom



[5]
# La8Sm3Ho3 GGA-PBE optimized geometry
data_La8Sm3Ho3
_chemical_formula_sum 'La16 Sm6 Ho6'
_symmetry_space_group_name_H-M 'I m m m'
_symmetry_Int_Tables_number 71
_symmetry_space_group_name_Hall '-I 2 2'
_cell_length_a 5.7542
_cell_length_b 11.0469
_cell_length_c 15.4127
_cell_angle_alpha 90.00
_cell_angle_beta 90.00
_cell_angle_gamma 90.00
loop_
_atom_site_label
_atom_site_type_symbol
_atom_site_fract_x
_atom_site_fract_y
_atom_site_fract_z
La1 La 0.0000 0.1581 0.2273
La2 La 0.0000 0.3373 0.3943
Sm1 Sm 0.0000 0.0000 0.5000
Sm2 Sm 0.0000 0.5000 0.1766
Ho1 Ho 0.0000 0.0000 0.0000
Ho2 Ho 0.0000 0.3008 0.0000
# **Energy of formation from the pure elements**: 2.143 kcal/mol of atoms



[6]
# Sc6BiSb2Se3 GGA-PBE optimized geometry
data_Sc6BiSb2Se3
_chemical_formula_sum 'Sc12 Bi2 Sb4 Se6'
_symmetry_space_group_name_H-M 'C 1 2/m 1'
_symmetry_Int_Tables_number 12
_cell_length_a 17.6807
_cell_length_b 4.0086
_cell_length_c 8.1162
_cell_angle_alpha 90.00
_cell_angle_beta 104.38
_cell_angle_gamma 90.00
loop_
_symmetry_equiv_pos_as_xyz
'x,y,z'
'-x,-y,-z'
'-x,y,-z'
'x,-y,z'
'x+1/2,y+1/2,z'
'-x+1/2,-y+1/2,-z'
'-x+1/2,y+1/2,-z'
'x+1/2,-y+1/2,z'
loop_
_atom_site_label
_atom_site_type_symbol
_atom_site_fract_x
_atom_site_fract_y
_atom_site_fract_z
Sc1 Sc 0.0040 0.0000 0.2329
Sc2 Sc 0.1640 0.5000 0.0902
Sc3 Sc 0.1737 0.5000 0.5751
Bi1 Bi 0.0000 0.5000 0.5000
Sb1 Sb 0.1660 0.0000 0.8308
Se1 Se 0.0000 0.5000 0.0000
Se2 Se 0.1658 0.0000 0.3314
# **Energy relative to the elements, uncorrected**: -1.21 eV/atom



[7]
# Er4PdRh2 GGA-PBE optimized geometry
data_Er4PdRh2
_chemical_formula_sum 'Er12 Pd3 Rh6'
_symmetry_space_group_name_H-M 'R -3 m'
_symmetry_Int_Tables_number 166
_symmetry_space_group_name_Hall '-R 3 2"'
_cell_length_a 4.8084
_cell_length_b 4.8084
_cell_length_c 23.5248
_cell_angle_alpha 90.00
_cell_angle_beta 90.00
_cell_angle_gamma 120.00
loop_
_atom_site_label
_atom_site_type_symbol
_atom_site_fract_x
_atom_site_fract_y
_atom_site_fract_z
Er1 Er 0.0000 0.0000 0.1229
Er2 Er 0.0000 0.0000 0.3735
Pd1 Pd 0.0000 0.0000 0.5000
Rh1 Rh 0.0000 0.0000 0.2491
# **Offset from the most stable computed form**: 0.0 kJ/mol of formula units
# **Energy of formation from the pure elements**: -19.012 kcal/mol of atoms



[8]
# Tb5Al2Cd GGA-PBE optimized geometry
data_Tb5Al2Cd
_chemical_formula_sum 'Tb20 Al8 Cd4'
_symmetry_space_group_name_H-M 'I 4/m c m'
_symmetry_Int_Tables_number 140
_symmetry_space_group_name_Hall '-I 4 2c'
_cell_length_a 7.7309
_cell_length_b 7.7309
_cell_length_c 14.9428
_cell_angle_alpha 90.00
_cell_angle_beta 90.00
_cell_angle_gamma 90.00
loop_
_atom_site_label
_atom_site_type_symbol
_atom_site_fract_x
_atom_site_fract_y
_atom_site_fract_z
Tb1 Tb 0.0000 0.0000 0.0000
Tb2 Tb 0.1699 0.3301 0.1463
Al1 Al 0.1206 0.3794 0.5000
Cd1 Cd 0.0000 0.0000 0.2500
# **Energy of formation from the pure elements**: -5.882 kcal/mol of atoms



So what do the calculations give for calculated volume? Going down the list: 19.03 29.36 17.50 23.79 34.99 23.22 22.43 27.91 Å³ per atom.